# 1
The following is a PBEsol calculation of a relaxed structure of ScReTeN2, from Alexandria.

Results
raw formation energy: 1.432 eV/atom
final energy: -6.6709 eV per atom

The structure in POSCAR format:
```
ScReTeN2
1.0
4.008 0.000 0.000
0.000 4.008 0.000
0.000 0.000 5.817
Sc Re Te N
1 1 1 2
direct
0.000 0.000 0.000
0.500 0.500 0.500
0.000 0.000 0.500
0.000 0.500 0.000
0.500 0.000 0.000
```

# 2
The following is a PBEsol calculation of a relaxed structure of CdSi2Os, from Alexandria.

Results
raw formation energy: 0.584 eV/atom
final energy: -5.6428 eV per atom

The structure in POSCAR format:
```
CdSi2Os
1.0
-2.939 2.939 5.216
2.939 -2.939 5.216
2.939 2.939 -5.216
Cd Si Os
2 4 2
direct
0.000 0.000 0.000
0.750 0.250 0.500
0.180 0.125 0.555
0.375 0.820 0.945
0.570 0.625 0.445
0.875 0.430 0.055
0.250 0.750 0.500
0.500 0.500 0.000
```

# 3
The following is a PBEsol calculation of a relaxed structure of ReSi2Sb, from Alexandria.

Results
raw formation energy: 0.230 eV/atom
final energy: -7.1154 eV per atom

The structure in POSCAR format:
```
ReSi2Sb
1.0
4.062 -1.610 0.000
4.062 1.610 0.000
-0.688 0.000 5.299
Re Si Sb
1 2 1
direct
0.000 0.000 0.000
0.275 0.275 0.831
0.725 0.725 0.169
0.500 0.500 0.500
```

# 4
The following is a PBEsol calculation of a relaxed structure of KNbReB2, from Alexandria.

Results
DFT formation energy: 3418.1 meV/atom
final energy: -4.4458 eV per atom

The structure in POSCAR format:
```
KNbReB2
1.0
4.086 0.000 0.000
0.000 4.086 0.000
0.000 0.000 4.587
K Nb Re B
1 1 1 2
direct
0.000 0.000 0.000
0.500 0.500 0.500
0.000 0.000 0.500
0.000 0.500 0.000
0.500 0.000 0.000
```

Q: Which of these has the lowest final energy?
A: ReSi2Sb

Please write out number 3 again, unchanged.
The following is a PBEsol calculation of a relaxed structure of ReSi2Sb, from Alexandria.

Results
raw formation energy: 0.230 eV/atom
final energy: -7.1154 eV per atom

The structure in POSCAR format:
```
ReSi2Sb
1.0
4.062 -1.610 0.000
4.062 1.610 0.000
-0.688 0.000 5.299
Re Si Sb
1 2 1
direct
0.000 0.000 0.000
0.275 0.275 0.831
0.725 0.725 0.169
0.500 0.500 0.500
```

Q: Which formula does entry 2 have?
A: CdSi2Os